Below is crystalline Ca2In2Pb at its relaxed geometry, with properties calculated at the PBE-GGA level.

Geometry as CIF:
```
data_Ca2In2Pb
_cell_length_a 11.8735
_cell_length_b 4.7270
_cell_length_c 11.7805
_cell_angle_alpha 90.00
_cell_angle_beta 112.51
_cell_angle_gamma 90.00
_space_group_name_H-M_alt 'C 1 2/m 1'
_space_group_IT_number 12
loop_
_space_group_symop_operation_xyz
'x,y,z'
'-x,-y,-z'
'-x,y,-z'
'x,-y,z'
'x+1/2,y+1/2,z'
'-x+1/2,-y+1/2,-z'
'-x+1/2,y+1/2,-z'
'x+1/2,-y+1/2,z'
loop_
_atom_site_label
_atom_site_type_symbol
_atom_site_fract_x
_atom_site_fract_y
_atom_site_fract_z
_atom_site_occupancy
Ca1 Ca 0.0092 0.0000 0.1825 1
Ca2 Ca 0.1794 0.0000 0.6024 1
In1 In 0.0466 0.5000 0.3982 1
In2 In 0.1396 0.5000 0.0425 1
Pb1 Pb 0.2059 0.5000 0.8118 1
```

DFT formation energy	-365	meV/atom
energy above the lowest structure with this stoichiometry	0	meV/atom
DFT total energy	-3.00	eV per atom